[1]
First-principles (PBE) data for a geometry-optimized RbTbPbBr6 structure, as listed in Alexandria via LeMat-Bulk.

## Properties
* space group: P-31c
* uncorrected formation energy: -150.85 kJ per mole of atoms

Cell lengths 7.6910, 7.6910, 14.9061 Å; angles 90.00, 90.00, 120.00 degrees
Last column: nearest neighbours and their distance in Å.
Fractional coordinates of all 18 atoms:
Rb  0.0000  0.0000  0.0000  6 Br 3.53
Rb  0.0000  0.0000  0.5000  6 Br 3.53
Tb  0.6667  0.3333  0.2500  6 Br 2.83
Tb  0.3333  0.6667  0.7500  6 Br 2.83
Pb  0.3333  0.6667  0.2500  6 Br 3.06
Pb  0.6667  0.3333  0.7500  6 Br 3.06
Br  0.6402  0.6179  0.1389  1 Tb 2.83, 1 Pb 3.06
Br  0.9777  0.3598  0.1389  1 Tb 2.83, 1 Pb 3.06
Br  0.3598  0.9777  0.6389  1 Tb 2.83, 1 Pb 3.06
Br  0.0223  0.6402  0.8611  1 Tb 2.83, 1 Pb 3.06
Br  0.3821  0.3598  0.3611  1 Tb 2.83, 1 Pb 3.06
Br  0.9777  0.6179  0.3611  1 Tb 2.83, 1 Pb 3.06
Br  0.6179  0.9777  0.8611  1 Tb 2.83, 1 Pb 3.06
Br  0.6402  0.0223  0.3611  1 Tb 2.83, 1 Pb 3.06
Br  0.0223  0.3821  0.6389  1 Tb 2.83, 1 Pb 3.06
Br  0.3821  0.0223  0.1389  1 Tb 2.83, 1 Pb 3.06
Br  0.6179  0.6402  0.6389  1 Tb 2.83, 1 Pb 3.06
Br  0.3598  0.3821  0.8611  1 Tb 2.83, 1 Pb 3.06

[2]
First-principles (PBE) data for a geometry-optimized Mg4Hg3Pd2 structure, as listed in Alexandria via LeMat-Bulk.

## Properties
* space group: C2/m
* E_form: -0.37 eV per atom

Cell lengths 4.4811, 4.8365, 8.8988 Å; angles 83.77, 90.00, 62.40 degrees
Last column: nearest neighbours and their distance in Å.
Fractional coordinates of all 9 atoms:
Mg  0.6648  0.6702  0.8939  4 Pd 2.85-2.99, 4 Hg 2.87-2.91, 4 Mg 3.17-3.18
Mg  0.0098  0.9810  0.3184  4 Hg 2.82-2.94, 3 Pd 2.87-2.88
Mg  0.9902  0.0190  0.6816  4 Hg 2.82-2.94, 3 Pd 2.87-2.88
Mg  0.3352  0.3298  0.1061  4 Pd 2.85-2.99, 4 Hg 2.87-2.91, 4 Mg 3.17-3.18
Hg  0.3358  0.3285  0.4319  4 Mg 2.85-2.94, 3 Hg 2.93-3.01, 3 Pd 3.14-3.15
Hg  0.0000  0.0000  0.0000  8 Mg 2.82-2.91
Hg  0.6642  0.6715  0.5681  4 Mg 2.85-2.94, 3 Hg 2.93-3.01, 3 Pd 3.14-3.15
Pd  0.3216  0.3567  0.7837  7 Mg 2.85-2.99, 3 Hg 3.14-3.15
Pd  0.6784  0.6433  0.2163  7 Mg 2.85-2.99, 3 Hg 3.14-3.15

[3]
First-principles (PBE) data for a geometry-optimized Cs2ZrIr structure, as listed in Alexandria via LeMat-Bulk.

## Properties
* space group: Fm-3m
* E_form: 1.74 eV per atom

Cell lengths 5.5503, 5.5503, 5.5503 Å; angles 60.00, 60.00, 60.00 degrees
Last column: nearest neighbours and their distance in Å.
Fractional coordinates of all 4 atoms:
Cs  0.2500  0.2500  0.2500  4 Ir 3.40, 4 Zr 3.40
Cs  0.7500  0.7500  0.7500  4 Zr 3.40, 4 Ir 3.40
Ir  0.5000  0.5000  0.5000  8 Cs 3.40
Zr  0.0000  0.0000  0.0000  8 Cs 3.40

[4]
First-principles (PBE) data for a geometry-optimized Tb5NdDy7 structure, as listed in Alexandria via LeMat-Bulk.

## Properties
* space group: Imm2
* E_form: 0.25 eV per atom

Cell lengths 6.6775, 8.6992, 8.6992 Å; angles 79.56, 67.43, 67.43 degrees
Last column: nearest neighbours and their distance in Å.
Fractional coordinates of all 13 atoms:
Tb  0.4654  0.9977  0.5386  2 Tb 3.11-3.12, 5 Dy 3.39-3.48
Tb  0.9983  0.9977  0.5386  2 Tb 3.11-3.12, 5 Dy 3.39-3.48
Tb  0.4654  0.5386  0.9977  2 Tb 3.11-3.12, 5 Dy 3.39-3.48
Tb  0.9983  0.5386  0.9977  2 Tb 3.11-3.12, 5 Dy 3.39-3.48
Tb  0.7340  0.7660  0.7660  4 Tb 3.11, 2 Dy 3.43
Nd  0.0316  0.9684  0.9684  7 Dy 3.51-3.88, 4 Tb 3.79
Dy  0.7283  0.2717  0.2717  3 Dy 3.34-3.52, 4 Tb 3.50, 1 Nd 3.51
Dy  0.4240  0.5760  0.5760  7 Dy 3.52-3.89, 4 Tb 3.73
Dy  0.9818  0.3488  0.6876  5 Tb 3.43-3.48, 4 Dy 3.44-3.79, 1 Nd 3.73
Dy  0.9818  0.6876  0.3488  5 Tb 3.43-3.48, 4 Dy 3.44-3.79, 1 Nd 3.73
Dy  0.2298  0.2702  0.2702  6 Dy 3.34-3.46, 4 Tb 3.39
Dy  0.4806  0.8501  0.1886  5 Dy 3.46-3.79, 5 Tb 3.47-3.49
Dy  0.4806  0.1886  0.8501  5 Dy 3.46-3.79, 5 Tb 3.47-3.49

[5]
First-principles (PBE) data for a geometry-optimized Y4MgCu5 structure, as listed in Alexandria via LeMat-Bulk.

## Properties
* space group: P4/mmm
* E_form: -0.20 eV per atom

Cell lengths 3.4206, 3.4206, 17.2182 Å; angles 90.00, 90.00, 90.00 degrees
Last column: nearest neighbours and their distance in Å.
Fractional coordinates of all 10 atoms:
Y  0.0000  0.0000  0.1898  8 Cu 3.00-3.01, 1 Mg 3.27
Y  0.0000  0.0000  0.3965  8 Cu 3.00-3.01
Y  0.0000  0.0000  0.6035  8 Cu 3.00-3.01
Y  0.0000  0.0000  0.8102  8 Cu 3.00-3.01, 1 Mg 3.27
Mg  0.0000  0.0000  0.0000  8 Cu 2.83
Cu  0.5000  0.5000  0.0855  4 Mg 2.83, 1 Cu 2.95, 4 Y 3.01
Cu  0.5000  0.5000  0.2928  8 Y 3.00-3.01
Cu  0.5000  0.5000  0.5000  8 Y 3.00
Cu  0.5000  0.5000  0.7072  8 Y 3.00-3.01
Cu  0.5000  0.5000  0.9145  4 Mg 2.83, 1 Cu 2.95, 4 Y 3.01

[6]
First-principles (PBE) data for a geometry-optimized Ac5Mg2Co2 structure, as listed in Alexandria via LeMat-Bulk.

## Properties
* space group: C2/m
* E_form: 0.12 eV per atom

Cell lengths 5.7844, 5.7844, 9.5030 Å; angles 108.04, 108.04, 88.99 degrees
Last column: nearest neighbours and their distance in Å.
Fractional coordinates of all 9 atoms:
Ac  0.0000  0.0000  0.0000  2 Co 2.81
Ac  0.3773  0.8772  0.7545  2 Co 3.05
Ac  0.8772  0.3773  0.7545  2 Co 3.05
Ac  0.6227  0.1228  0.2455  2 Co 3.05
Ac  0.1228  0.6227  0.2455  2 Co 3.05
Mg  0.7564  0.7564  0.5120  8 Ac 3.56-3.69
Mg  0.2436  0.2436  0.4880  8 Ac 3.56-3.69
Co  0.6529  0.3471  0.0000  1 Co 2.48
Co  0.3471  0.6529  0.0000  1 Co 2.48

[7]
First-principles (PBE) data for a geometry-optimized Ca2GaCu2 structure, as listed in Alexandria via LeMat-Bulk.

## Properties
* space group: I4/mmm
* E_form: -0.13 eV per atom

Cell lengths 3.4798, 3.4798, 9.4039 Å; angles 79.34, 79.34, 90.00 degrees
Last column: nearest neighbours and their distance in Å.
Fractional coordinates of all 5 atoms:
Ca  0.3886  0.3886  0.2229  4 Cu 3.06, 4 Ga 3.19
Ca  0.6114  0.6114  0.7771  4 Cu 3.06, 4 Ga 3.19
Cu  0.7500  0.2500  0.5000  4 Cu 2.46
Cu  0.2500  0.7500  0.5000  4 Cu 2.46
Ga  0.0000  0.0000  0.0000  8 Ca 3.19, 4 Ga 3.48

| no. | magnetization (μB per cell) |
| --- | --- |
| 1 | 0.00 |
| 2 | 0.00 |
| 3 | 2.52 |
| 4 | 0.00 |
| 5 | 0.00 |
| 6 | 0.00 |
| 7 | 0.00 |